7
Lattice="-3.879 -2.657 0.415 0.315 -4.384 1.721 -2.521 0.952 9.362" Properties=species:S:1:pos:R:3 comment="La2TbTl2Zn2 | Alexandria | PBE | optimized geometry" vol_a3_per_atom=25.78 e_form_mev_per_atom=-205 dos_ef_per_ev_atom=0.64 pbc="T T T"
La -1.973 -0.405 5.803
La -4.113 -5.684 5.695
Tb 0.000 0.000 0.000
Tl -4.653 -4.348 9.199
Tl -1.433 -1.742 2.299
Zn -2.698 -3.898 3.512
Zn -3.388 -2.191 7.987

***

8
Lattice="5.496 0.000 0.000 2.748 4.760 0.000 2.748 1.587 9.155" Properties=species:S:1:pos:R:3 comment="BaInHg4Bi2 | Alexandria | PBE | optimized geometry" vol_a3_per_atom=29.94 e_form_mev_per_atom=-240 dos_ef_per_ev_atom=0.42 pbc="T T T"
Ba 0.000 0.000 0.000
In 5.496 3.173 4.578
Hg 5.496 3.173 7.742
Hg 8.244 4.760 3.544
Hg 2.748 1.587 5.611
Hg 5.496 3.173 1.414
Bi 8.244 4.760 6.768
Bi 2.748 1.587 2.387

***

10
Lattice="5.843 0.000 0.000 0.000 5.843 0.000 2.922 2.922 4.605" Properties=species:S:1:pos:R:3 comment="Rb2CuH6Au | Alexandria | PBE | optimized geometry" vol_a3_per_atom=15.72 dos_ef_per_ev_atom=0.00 e_tot_ev_per_atom=-3.058 pbc="T T T"
Rb 5.843 2.922 2.303
Rb 2.922 5.843 2.303
Cu 0.000 0.000 0.000
H 2.922 2.922 3.045
H 4.107 4.107 0.000
H 1.736 4.107 0.000
H 4.107 1.736 0.000
H 4.658 4.658 4.605
H 5.843 5.843 1.560
Au 2.922 2.922 0.000

***

6
Lattice="4.054 0.000 0.000 0.000 4.054 0.000 -2.027 -2.027 14.789" Properties=species:S:1:pos:R:3 comment="KNdIn | Alexandria | PBE | optimized geometry" vol_a3_per_atom=40.51 e_form_mev_per_atom=-133 dos_ef_per_ev_atom=0.85 pbc="T T T"
Nd 0.000 0.000 8.542
Nd 2.027 2.027 6.247
In 0.000 0.000 4.637
In 2.027 2.027 10.151
K 2.027 2.027 2.213
K 0.000 0.000 12.576